An optimized crystal structure of SrW2Se, computed with PBE-GGA.

a b c (Å): 6.798 6.798 6.798
angles (deg): 90.00 90.00 90.00
Space group F-43m (No. 216)
Inequivalent atoms, fractional coordinates:
Sr (0.000, 0.000, 0.000) x4
W (0.000, 0.000, 0.500) x4
W (0.250, 0.250, 0.750) x4
Se (0.250, 0.250, 0.250) x4

Output
Theoretical density = 11.29 Mg/m³
Total DFT energy (no corrections) = -0.253 hartree per atom
DOS at the Fermi energy = 8.192 states/eV/cell
Energy relative to the elements, uncorrected = 880 meV per atom


An optimized crystal structure of SrWSe2, computed with PBE-GGA.

a b c (Å): 3.333 3.333 7.294
angles (deg): 90.00 90.00 90.00
Space group P4/mmm (No. 123)
Inequivalent atoms, fractional coordinates:
Sr (0.000, 0.000, 0.000) x1
W (0.000, 0.000, 0.500) x1
Se (0.500, 0.500, 0.295) x2

Output
Theoretical density = 8.80 Mg/m³
Total DFT energy (no corrections) = -0.205 hartree per atom
DOS at the Fermi energy = 3.943 states/eV/cell
ΔE to the lowest computed polymorph = 331 meV per atom
Energy relative to the elements, uncorrected = -191 meV per atom


An optimized crystal structure of SrW2Se, computed with PBE-GGA.

a b c (Å): 3.915 3.915 11.158
angles (deg): 90.00 90.00 90.00
Space group I4/mmm (No. 139)
Inequivalent atoms, fractional coordinates:
Sr (0.000, 0.000, 0.000) x2
W (0.000, 0.500, 0.250) x4
Se (0.000, 0.000, 0.500) x2

Output
Theoretical density = 10.38 Mg/m³
Total DFT energy (no corrections) = -0.255 hartree per atom
DOS at the Fermi energy = 7.323 states/eV/cell
Energy relative to the elements, uncorrected = 830 meV per atom